Below is a relaxed structure of Zr7Be, with properties calculated at the PBE level.

Geometry as CIF:
```
data_Zr7Be
_symmetry_space_group_name_H-M 'F m -3 m'
_symmetry_Int_Tables_number 225
_symmetry_space_group_name_Hall '-F 4 2 3'
_cell_length_a 8.870
_cell_length_b 8.870
_cell_length_c 8.870
_cell_angle_alpha 90.00
_cell_angle_beta 90.00
_cell_angle_gamma 90.00
loop_
_atom_site_label
_atom_site_type_symbol
_atom_site_fract_x
_atom_site_fract_y
_atom_site_fract_z
_atom_site_occupancy
Zr1 Zr 0.000 0.000 0.000 1
Zr2 Zr 0.000 0.250 0.250 1
Be1 Be 0.000 0.000 0.500 1
```

Values from the calculation:
* M_tot: 0.00 μB/f.u.
* N(E_F): 62.96 states/eV/cell
* calculated volume: 21.8 Å³ per atom
* energy of formation: 0.15 eV per atom